Entry 1:
# Na2ThOsN4

A relaxed structure of Na2ThOsN4 (PBE-GGA, Alexandria).

a b c (Å): 5.002 7.163 7.388
angles (deg): 90.00 90.00 90.00
Fractional coordinates of all 16 atoms:
N1 0.922 0.301 0.781
N2 0.422 0.699 0.719
N3 0.922 0.301 0.219
N4 0.456 0.090 0.500
N5 0.364 0.164 0.000
N6 0.864 0.836 0.500
N7 0.956 0.910 0.000
N8 0.422 0.699 0.281
Na1 0.446 0.357 0.248
Na2 0.946 0.643 0.252
Na3 0.446 0.357 0.752
Na4 0.946 0.643 0.748
Th1 0.959 0.131 0.500
Th2 0.459 0.869 0.000
Os1 0.984 0.187 0.000
Os2 0.484 0.813 0.500

Results
Space-group type = No. 31
Total moment = 0.00 μB per atom



Entry 2:
# FeSbAs2Ru

A relaxed structure of FeSbAs2Ru (PBE-GGA, Alexandria).

a b c (Å): 5.199 4.852 5.199
angles (deg): 90.00 90.00 90.00
Fractional coordinates of all 5 atoms:
As1 0.000 0.000 0.500
As2 0.500 0.000 0.000
Ru1 0.000 0.500 0.000
Fe1 0.500 0.500 0.500
Sb1 0.000 0.000 0.000

Results
Space-group type = No. 123
Total moment = 0.71 μB per atom



Entry 3:
# TiIrI3

A relaxed structure of TiIrI3 (PBE-GGA, Alexandria).

a b c (Å): 5.404 5.404 5.404
angles (deg): 90.00 90.00 90.00
Fractional coordinates of all 5 atoms:
Ti1 0.500 0.500 0.500
I1 0.000 0.000 0.500
I2 0.000 0.500 0.000
I3 0.500 0.000 0.000
Ir1 0.000 0.000 0.000

Results
Space-group type = No. 221
Polymorph energy (0 for the lowest one) = 0 meV per atom
Total moment = 0.48 μB per atom



Entry 4:
# Re2SiGe

A relaxed structure of Re2SiGe (PBE-GGA, Alexandria).

a b c (Å): 3.880 3.880 9.178
angles (deg): 77.80 77.80 90.00
Fractional coordinates of all 8 atoms:
Si1 0.500 0.500 0.000
Si2 0.250 0.750 0.500
Ge1 0.000 0.000 0.000
Ge2 0.750 0.250 0.500
Re1 0.375 0.421 0.750
Re2 0.171 0.625 0.250
Re3 0.875 0.829 0.750
Re4 0.579 0.125 0.250

Results
Space-group type = No. 122
Polymorph energy (0 for the lowest one) = 454 meV per atom
Total moment = 0.00 μB per atom



| no. | raw formation energy (kJ/mol of atoms) |
| --- | --- |
| 1 | -29.4 |
| 2 | 159.7 |
| 3 | 63.3 |
| 4 | 51.8 |